1.
# BeCd2FeOs

A relaxed BeCd2FeOs crystal (PBEsol, Alexandria).

Properties
Space group ... P4/mmm, No. 123
Calculated formation energy ... 1.557 eV/atom

Cell lengths 4.718, 4.718, 3.791 Å; angles 90.00, 90.00, 90.00 degrees
Positions (direct):
Be 0.000 0.000 0.000
Cd 0.000 0.500 0.500
Cd 0.500 0.000 0.500
Fe 0.000 0.000 0.500
Os 0.500 0.500 0.000



2.
# NbIrSe2

A relaxed NbIrSe2 crystal (PBEsol, Alexandria).

Properties
E_form (uncorrected) ... -0.164 eV/atom
Space group ... R-3m, No. 166

Cell lengths 3.146, 3.146, 25.036 Å; angles 90.00, 90.00, 120.00 degrees
Positions (direct):
Nb 0.000 0.000 0.000
Nb 0.333 0.667 0.667
Nb 0.667 0.333 0.333
Ir 0.000 0.000 0.500
Ir 0.333 0.667 0.167
Ir 0.667 0.333 0.833
Se 0.000 0.000 0.406
Se 0.000 0.000 0.594
Se 0.333 0.667 0.073
Se 0.333 0.667 0.261
Se 0.667 0.333 0.739
Se 0.667 0.333 0.927



3.
# CaAl3Ir

A relaxed CaAl3Ir crystal (PBEsol, Alexandria).

Properties
Space group ... Pm-3m, No. 221
Calculated formation energy ... 2.089 eV/atom

Cell lengths 4.951, 4.951, 4.951 Å; angles 90.00, 90.00, 90.00 degrees
Positions (direct):
Ca 0.000 0.000 0.000
Al 0.000 0.000 0.500
Al 0.000 0.500 0.000
Al 0.500 0.000 0.000
Ir 0.500 0.500 0.500



4.
# La4FePb

A relaxed La4FePb crystal (PBEsol, Alexandria).

Properties
Space group ... F-43m, No. 216
Calculated formation energy ... 0.517 eV/atom

Cell lengths 6.304, 6.304, 6.304 Å; angles 60.00, 60.00, 60.00 degrees
Positions (direct):
La 0.125 0.125 0.125
La 0.125 0.125 0.626
La 0.125 0.626 0.125
La 0.626 0.125 0.125
Fe 0.500 0.500 0.500
Pb 0.750 0.750 0.750



5.
# LaIn3

A relaxed LaIn3 crystal (PBEsol, Alexandria).

Properties
Space group ... I4/mmm, No. 139
Calculated formation energy ... -0.463 eV/atom

Cell lengths 4.637, 4.637, 19.505 Å; angles 90.00, 90.00, 90.00 degrees
Positions (direct):
La 0.000 0.000 0.121
La 0.000 0.000 0.879
La 0.500 0.500 0.379
La 0.500 0.500 0.621
In 0.000 0.000 0.374
In 0.000 0.000 0.626
In 0.000 0.500 0.000
In 0.000 0.500 0.250
In 0.000 0.500 0.500
In 0.000 0.500 0.750
In 0.500 0.000 0.000
In 0.500 0.000 0.250
In 0.500 0.000 0.500
In 0.500 0.000 0.750
In 0.500 0.500 0.126
In 0.500 0.500 0.874



6.
# TiBi2Os

A relaxed TiBi2Os crystal (PBEsol, Alexandria).

Properties
Space group ... I-42d, No. 122
Calculated formation energy ... 0.761 eV/atom

Cell lengths 4.342, 4.342, 18.870 Å; angles 90.00, 90.00, 90.00 degrees
Positions (direct):
Ti 0.000 0.000 0.000
Ti 0.000 0.500 0.250
Ti 0.500 0.000 0.750
Ti 0.500 0.500 0.500
Bi 0.245 0.250 0.625
Bi 0.250 0.745 0.875
Bi 0.250 0.755 0.375
Bi 0.255 0.250 0.125
Bi 0.745 0.750 0.125
Bi 0.750 0.245 0.375
Bi 0.750 0.255 0.875
Bi 0.755 0.750 0.625
Os 0.000 0.000 0.500
Os 0.000 0.500 0.750
Os 0.500 0.000 0.250
Os 0.500 0.500 0.000



7.
# MnCoP2

A relaxed MnCoP2 crystal (PBEsol, Alexandria).

Properties
Space group ... Fm-3m, No. 225
Calculated formation energy ... -0.268 eV/atom

Cell lengths 5.540, 5.540, 5.540 Å; angles 90.00, 90.00, 90.00 degrees
Positions (direct):
Mn 0.000 0.000 0.000
Mn 0.000 0.500 0.500
Mn 0.500 0.000 0.500
Mn 0.500 0.500 0.000
Co 0.000 0.000 0.500
Co 0.000 0.500 0.000
Co 0.500 0.000 0.000
Co 0.500 0.500 0.500
P 0.250 0.250 0.250
P 0.250 0.250 0.750
P 0.250 0.750 0.250
P 0.250 0.750 0.750
P 0.750 0.250 0.250
P 0.750 0.250 0.750
P 0.750 0.750 0.250
P 0.750 0.750 0.750



8.
# MgSc2Fe

A relaxed MgSc2Fe crystal (PBEsol, Alexandria).

Properties
Space group ... Imm2, No. 44
Calculated formation energy ... 0.078 eV/atom

Cell lengths 3.126, 4.696, 10.129 Å; angles 90.00, 90.00, 90.00 degrees
Positions (direct):
Mg 0.000 0.000 0.000
Mg 0.500 0.500 0.500
Sc 0.000 0.000 0.397
Sc 0.000 0.500 0.204
Sc 0.500 0.000 0.704
Sc 0.500 0.500 0.897
Fe 0.000 0.500 0.707
Fe 0.500 0.000 0.207



9.
# Cu3BiW

A relaxed Cu3BiW crystal (PBEsol, Alexandria).

Properties
Space group ... Pm-3m, No. 221
Calculated formation energy ... 1.426 eV/atom

Cell lengths 4.657, 4.657, 4.657 Å; angles 90.00, 90.00, 90.00 degrees
Positions (direct):
Cu 0.000 0.000 0.500
Cu 0.000 0.500 0.000
Cu 0.500 0.000 0.000
Bi 0.500 0.500 0.500
W 0.000 0.000 0.000



10.
# BeAl2Hg

A relaxed BeAl2Hg crystal (PBEsol, Alexandria).

Properties
Space group ... P4/mmm, No. 123
Calculated formation energy ... 0.220 eV/atom

Cell lengths 2.877, 2.877, 7.736 Å; angles 90.00, 90.00, 90.00 degrees
Positions (direct):
Be 0.000 0.000 0.000
Al 0.500 0.500 0.200
Al 0.500 0.500 0.800
Hg 0.000 0.000 0.500



11.
# Pb2Au

A relaxed Pb2Au crystal (PBEsol, Alexandria).

Properties
Space group ... P6_3/mmc, No. 194
Calculated formation energy ... 0.019 eV/atom

Cell lengths 5.170, 5.170, 6.459 Å; angles 90.00, 90.00, 120.00 degrees
Positions (direct):
Pb 0.000 0.000 0.000
Pb 0.000 0.000 0.500
Pb 0.333 0.667 0.250
Pb 0.667 0.333 0.750
Au 0.333 0.667 0.750
Au 0.667 0.333 0.250



12.
# CuPt2Rh

A relaxed CuPt2Rh crystal (PBEsol, Alexandria).

Properties
Space group ... P4mm, No. 99
Calculated formation energy ... 0.004 eV/atom

Cell lengths 2.722, 2.722, 7.439 Å; angles 90.00, 90.00, 90.00 degrees
Positions (direct):
Cu 0.000 0.000 0.000
Pt 0.000 0.000 0.512
Pt 0.500 0.500 0.240
Rh 0.500 0.500 0.764



no.,DOS(E_F) (states/eV per atom),M_tot (μB per formula unit)
1,0.856,2.90
2,0.738,0.00
3,1.083,0.00
4,1.576,2.39
5,0.633,0.00
6,1.322,0.00
7,0.890,1.55
8,1.022,0.00
9,1.206,0.00
10,0.318,0.00
11,0.381,0.00
12,1.623,0.00